Entry 1:
Compound: YAl2P
Source: Alexandria
Functional: PBE-GGA
Structure: optimized geometry

Summary:
As for the total energy: -5.34 eV/atom. As for the density of states at the Fermi level: 0.52 states/eV/atom. The energy relative to the elements is -0.4956 eV per atom.

Cell lengths 3.5907, 4.1468, 5.7873 Å; angles 69.12, 90.00, 90.00 degrees
With the nearest neighbours (Å) after each atom.
Positions (direct):
Y  0.5000  0.7264  0.6718  4 P 2.80, 1 Al 2.95
P  0.0000  0.2772  0.5698  3 Al 2.55-2.62, 4 Y 2.80
Al  0.5000  0.4538  0.2178  2 P 2.62, 4 Al 2.90-2.91
Al  0.0000  0.0426  0.0406  1 P 2.55



Entry 2:
Compound: LiYBr2
Source: Alexandria
Functional: PBE-GGA
Structure: optimized geometry

Summary:
As for the total energy: -3.89 eV/atom. As for the formation energy without anion corrections: -0.9599 eV/atom. As for the density of states at the Fermi level: 0.67 states/eV/atom.

Cell lengths 6.7454, 5.9779, 3.7243 Å; angles 67.84, 96.69, 126.90 degrees
With the nearest neighbours (Å) after each atom.
Positions (direct):
Br  0.5000  0.0000  0.5000  2 Li 2.86, 2 Y 2.86
Br  0.0000  0.0000  0.0000  2 Y 2.86, 2 Li 2.86
Y  0.5000  0.5000  0.0000  4 Br 2.86
Li  0.0000  0.5000  0.5000  4 Br 2.86



Entry 3:
Compound: LiMnBr2
Source: Alexandria
Functional: PBE-GGA
Structure: optimized geometry

Summary:
As for the total energy: -4.19 eV/atom. As for the formation energy without anion corrections: -0.5827 eV/atom. As for the density of states at the Fermi level: 0.47 states/eV/atom.

Cell lengths 3.7623, 3.7623, 7.0925 Å; angles 74.70, 74.70, 59.89 degrees
With the nearest neighbours (Å) after each atom.
Positions (direct):
Br  0.4980  0.4980  0.5057  3 Li 2.73, 3 Mn 2.77
Br  0.0020  0.0020  0.9943  3 Li 2.73, 3 Mn 2.77
Mn  0.2500  0.2500  0.2500  6 Br 2.77
Li  0.7500  0.7500  0.7500  6 Br 2.73



Entry 4:
Compound: Mg2Ta2Au
Source: Alexandria
Functional: PBE-GGA
Structure: optimized geometry

Summary:
As for the total energy: -5.30 eV/atom. As for the density of states at the Fermi level: 1.20 states/eV/atom. The energy relative to the elements is 0.7334 eV per atom.

Cell lengths 7.7044, 7.7044, 7.7044 Å; angles 151.73, 151.73, 40.40 degrees
With the nearest neighbours (Å) after each atom.
Positions (direct):
Mg  0.2500  0.7500  0.5000  4 Mg 2.66
Mg  0.7500  0.2500  0.5000  4 Mg 2.66
Ta  0.5842  0.5842  0.0000  1 Ta 2.43
Ta  0.4158  0.4158  0.0000  1 Ta 2.43
Au  0.0000  0.0000  0.0000  8 Ta 2.93



Entry 5:
Compound: HfZrSc
Source: Alexandria
Functional: PBE-GGA
Structure: optimized geometry

Summary:
As for the total energy: -7.97 eV/atom. As for the density of states at the Fermi level: 1.30 states/eV/atom. The energy relative to the elements is 0.3039 eV per atom.

Cell lengths 3.0374, 3.0724, 7.9353 Å; angles 78.85, 101.03, 90.00 degrees
With the nearest neighbours (Å) after each atom.
Positions (direct):
Zr  0.6701  0.6630  0.3402  2 Hf 3.01, 4 Zr 3.04-3.07, 2 Sc 3.14-3.15
Sc  0.4904  0.3431  0.9808  4 Sc 3.04-3.07, 2 Zr 3.14-3.15, 4 Hf 3.16
Hf  0.8395  0.9939  0.6790  2 Zr 3.01, 4 Hf 3.04-3.07, 4 Sc 3.16



Entry 6:
Compound: Ag2HgI5
Source: Alexandria
Functional: PBE-GGA
Structure: optimized geometry

Summary:
As for the total energy: -1.87 eV/atom. As for the formation energy without anion corrections: -0.1504 eV/atom. As for the density of states at the Fermi level: 0.46 states/eV/atom.

Cell lengths 6.7808, 7.6527, 13.3898 Å; angles 90.00, 90.00, 116.30 degrees
With the nearest neighbours (Å) after each atom.
Positions (direct):
I  0.2532  0.5065  0.7500  2 Ag 2.84
I  0.9511  0.9022  0.8801  2 Ag 2.86-2.99, 1 Hg 3.05
I  0.6626  0.3252  0.9352  1 Hg 2.88, 1 Ag 2.94
I  0.3374  0.6748  0.0648  1 Hg 2.88, 1 Ag 2.94
I  0.3374  0.6748  0.4352  1 Hg 2.88, 1 Ag 2.94
I  0.7468  0.4935  0.2500  2 Ag 2.84
I  0.6626  0.3252  0.5648  1 Hg 2.88, 1 Ag 2.94
I  0.0489  0.0978  0.1199  2 Ag 2.86-2.99, 1 Hg 3.05
I  0.9511  0.9022  0.6199  2 Ag 2.86-2.99, 1 Hg 3.05
I  0.0489  0.0978  0.3801  2 Ag 2.86-2.99, 1 Hg 3.05
Hg  0.7691  0.5382  0.7500  4 I 2.88-3.05
Hg  0.2309  0.4618  0.2500  4 I 2.88-3.05
Ag  0.8389  0.6779  0.0602  4 I 2.84-2.99
Ag  0.1611  0.3221  0.5602  4 I 2.84-2.99
Ag  0.8389  0.6779  0.4398  4 I 2.84-2.99
Ag  0.1611  0.3221  0.9398  4 I 2.84-2.99